## Cr2NiAs (PBE)

Data for an optimized crystal structure of Cr2NiAs.

Cell and atoms, written as POSCAR:
```
Cr2NiAs
1.0
1.339 0.773 8.069
-1.339 0.773 8.069
0.000 -1.546 8.069
Cr Ni As
2 1 1
direct
0.249 0.249 0.249 Cr
0.751 0.751 0.751 Cr
0.500 0.500 0.500 Ni
0.000 0.000 0.000 As
```

Values from the calculation:
**Total moment**: 0.00 μB/atom
**Calculated density**: 7.9 g/cm3
**Energy of formation**: 1.4 eV per formula unit

=====

## PmSm2As3 (PBE)

Data for an optimized crystal structure of PmSm2As3.

Cell and atoms, written as POSCAR:
```
PmSm2As3
1.0
-2.114 2.984 6.332
2.114 -2.984 6.332
2.114 2.984 -6.332
Pm Sm As
1 2 3
direct
0.000 0.000 0.000 Pm
0.333 0.333 0.000 Sm
0.667 0.667 0.000 Sm
0.167 0.667 0.500 As
0.500 0.000 0.500 As
0.833 0.333 0.500 As
```

Values from the calculation:
**Total moment**: 0.00 μB/atom
**Calculated density**: 7.0 g/cm3
**Energy of formation**: -9.2 eV per formula unit

=====

## BeSbPO2 (PBE)

Data for an optimized crystal structure of BeSbPO2.

Cell and atoms, written as POSCAR:
```
BeSbPO2
1.0
3.836 0.000 0.000
0.000 3.836 0.000
0.000 0.000 5.379
Be Sb P O
1 1 1 2
direct
0.000 0.000 0.000 Be
0.500 0.500 0.500 Sb
0.500 0.500 0.000 P
0.000 0.500 0.500 O
0.500 0.000 0.500 O
```

Values from the calculation:
**Energy above the most stable polymorph in this dataset**: 196.2 meV per atom
**Total moment**: 0.00 μB/atom
**Calculated density**: 4.1 g/cm3
**Uncorrected formation energy**: -80 meV/atom

=====

## CoPt2Br (PBE)

Data for an optimized crystal structure of CoPt2Br.

Cell and atoms, written as POSCAR:
```
CoPt2Br
1.0
-1.440 2.331 4.893
1.440 -2.331 4.893
1.440 2.331 -4.893
Co Pt Br
1 2 1
direct
0.000 0.000 0.000 Co
0.211 0.711 0.500 Pt
0.475 0.475 0.000 Pt
0.794 0.294 0.500 Br
```

Values from the calculation:
**Energy above the most stable polymorph in this dataset**: 298.2 meV per atom
**Total moment**: 0.57 μB/atom
**Calculated density**: 13.4 g/cm3
**Uncorrected formation energy**: 591 meV/atom

=====

## BaNiP2 (PBE)

Data for an optimized crystal structure of BaNiP2.

Cell and atoms, written as POSCAR:
```
BaNiP2
1.0
-2.090 3.125 3.588
2.090 -3.125 3.588
2.090 3.125 -3.588
Ba Ni P
1 1 2
direct
0.000 0.000 0.000 Ba
0.371 0.871 0.500 Ni
0.498 0.498 0.000 P
0.668 0.168 0.500 P
```

Values from the calculation:
**Total moment**: 0.00 μB/atom
**Calculated density**: 4.6 g/cm3
**Energy of formation**: -0.6 eV per formula unit

=====

## Rb2NbCuSe4 (PBE)

Data for an optimized crystal structure of Rb2NbCuSe4.

Cell and atoms, written as POSCAR:
```
Rb2NbCuSe4
1.0
0.000 7.141 12.594
2.902 0.000 12.594
2.902 7.141 0.000
Rb Nb Cu Se
4 2 2 8
direct
0.054 0.054 0.696 Rb
0.304 0.304 0.946 Rb
0.696 0.696 0.054 Rb
0.946 0.946 0.304 Rb
0.125 0.125 0.125 Nb
0.875 0.875 0.875 Nb
0.375 0.375 0.375 Cu
0.625 0.625 0.625 Cu
0.033 0.328 0.414 Se
0.274 0.586 0.672 Se
0.328 0.033 0.726 Se
0.414 0.726 0.033 Se
0.586 0.274 0.967 Se
0.672 0.967 0.274 Se
0.726 0.414 0.328 Se
0.967 0.672 0.586 Se
```

Values from the calculation:
**Energy above the most stable polymorph in this dataset**: 0.0 meV per atom
**Total moment**: 0.00 μB/atom
**Calculated density**: 4.1 g/cm3
**Uncorrected formation energy**: -969 meV/atom

=====

## RhWBr (PBE)

Data for an optimized crystal structure of RhWBr.

Cell and atoms, written as POSCAR:
```
RhWBr
1.0
0.000 3.095 3.095
3.095 0.000 3.095
3.095 3.095 0.000
Rh W Br
1 1 1
direct
0.000 0.000 0.000 Rh
0.250 0.250 0.250 W
0.750 0.750 0.750 Br
```

Values from the calculation:
**Energy above the most stable polymorph in this dataset**: 888.9 meV per atom
**Total moment**: 0.00 μB/atom
**Calculated density**: 10.3 g/cm3
**Uncorrected formation energy**: 1294 meV/atom

=====

## Ba2SrLa2 (PBE)

Data for an optimized crystal structure of Ba2SrLa2.

Cell and atoms, written as POSCAR:
```
Ba2SrLa2
1.0
10.798 0.000 0.000
0.000 10.798 0.000
0.000 0.000 4.172
Ba Sr La
4 2 4
direct
0.183 0.317 0.000 Ba
0.317 0.817 0.000 Ba
0.683 0.183 0.000 Ba
0.817 0.683 0.000 Ba
0.000 0.000 0.500 Sr
0.500 0.500 0.500 Sr
0.113 0.613 0.500 La
0.387 0.113 0.500 La
0.613 0.887 0.500 La
0.887 0.387 0.500 La
```

Values from the calculation:
**Energy above the most stable polymorph in this dataset**: 0.0 meV per atom
**Total moment**: 0.00 μB/atom
**Calculated density**: 4.4 g/cm3
**Energy of formation**: 1.1 eV per formula unit

=====

## Sr4PrTe5 (PBE)

Data for an optimized crystal structure of Sr4PrTe5.

Cell and atoms, written as POSCAR:
```
Sr4PrTe5
1.0
-2.343 2.343 16.648
2.343 -2.343 16.648
2.343 2.343 -16.648
Sr Pr Te
4 1 5
direct
0.099 0.099 0.000 Sr
0.301 0.301 0.000 Sr
0.699 0.699 0.000 Sr
0.901 0.901 0.000 Sr
0.500 0.500 0.000 Pr
0.000 0.000 0.000 Te
0.200 0.200 0.000 Te
0.402 0.402 0.000 Te
0.598 0.598 0.000 Te
0.800 0.800 0.000 Te
```

Values from the calculation:
**Total moment**: 0.00 μB/atom
**Calculated density**: 5.1 g/cm3
**Uncorrected formation energy**: -1666 meV/atom

=====

## Y7In2Rh2 (PBE)

Data for an optimized crystal structure of Y7In2Rh2.

Cell and atoms, written as POSCAR:
```
Y7In2Rh2
1.0
4.059 -5.514 0.000
4.059 5.514 0.000
0.000 0.000 7.102
Y In Rh
7 2 2
direct
0.000 0.000 0.000 Y
0.000 0.500 0.251 Y
0.000 0.500 0.749 Y
0.500 0.000 0.251 Y
0.500 0.000 0.749 Y
0.500 0.500 0.243 Y
0.500 0.500 0.757 Y
0.176 0.176 0.500 In
0.824 0.824 0.500 In
0.289 0.711 0.000 Rh
0.711 0.289 0.000 Rh
```

Values from the calculation:
**Total moment**: 0.00 μB/atom
**Calculated density**: 5.5 g/cm3
**Energy of formation**: -4.6 eV per formula unit

=====

## La5Hg (PBE)

Data for an optimized crystal structure of La5Hg.

Cell and atoms, written as POSCAR:
```
La5Hg
1.0
2.503 -7.890 0.000
2.503 7.890 0.000
0.000 0.000 5.049
La Hg
5 1
direct
0.000 0.000 0.000 La
0.168 0.832 0.500 La
0.341 0.659 0.000 La
0.659 0.341 0.000 La
0.832 0.168 0.500 La
0.500 0.500 0.500 Hg
```

Values from the calculation:
**Energy above the most stable polymorph in this dataset**: 57.3 meV per atom
**Total moment**: 0.00 μB/atom
**Calculated density**: 7.5 g/cm3
**Energy of formation**: -0.7 eV per formula unit

=====

## NaNp2Pd9 (PBE)

Data for an optimized crystal structure of NaNp2Pd9.

Cell and atoms, written as POSCAR:
```
NaNp2Pd9
1.0
4.129 0.000 0.000
0.000 4.129 0.000
0.000 0.000 12.178
Na Np Pd
1 2 9
direct
0.000 0.000 0.000 Na
0.000 0.000 0.326 Np
0.000 0.000 0.674 Np
0.000 0.500 0.168 Pd
0.000 0.500 0.500 Pd
0.000 0.500 0.832 Pd
0.500 0.000 0.168 Pd
0.500 0.000 0.500 Pd
0.500 0.000 0.832 Pd
0.500 0.500 0.000 Pd
0.500 0.500 0.335 Pd
0.500 0.500 0.665 Pd
```

Values from the calculation:
**Total moment**: 0.49 μB/atom
**Calculated density**: 11.6 g/cm3
**Energy of formation**: -3.9 eV per formula unit

=====

## NdTmCu (PBE)

Data for an optimized crystal structure of NdTmCu.

Cell and atoms, written as POSCAR:
```
NdTmCu
1.0
-1.753 1.753 6.233
1.753 -1.753 6.233
1.753 1.753 -6.233
Nd Tm Cu
1 1 1
direct
0.000 0.000 0.000 Nd
0.278 0.278 0.000 Tm
0.659 0.659 0.000 Cu
```

Values from the calculation:
**Energy above the most stable polymorph in this dataset**: 4.5 meV per atom
**Total moment**: 0.00 μB/atom
**Calculated density**: 8.2 g/cm3
**Energy of formation**: -0.4 eV per formula unit

=====

## YRhAu (PBE)

Data for an optimized crystal structure of YRhAu.

Cell and atoms, written as POSCAR:
```
YRhAu
1.0
0.000 3.238 3.238
3.238 0.000 3.238
3.238 3.238 0.000
Y Rh Au
1 1 1
direct
0.000 0.000 0.000 Y
0.750 0.750 0.750 Rh
0.500 0.500 0.500 Au
```

Values from the calculation:
**Total moment**: 0.00 μB/atom
**Calculated density**: 9.5 g/cm3
**Energy of formation**: -1.5 eV per formula unit